[1]
The following is a DFT calculation (PBE-GGA) of crystalline Cd9Hg2Bi at its relaxed geometry.

Properties
For the formation energy, the calculation gives 0.055 eV per atom. The volume is 291.7 Å³/cell. Its polymorph energy (0 for the lowest one) is 0.017 eV per atom. Its total magnetization is 0.000 Bohr magnetons per cell.

a = 3.3230 Å, b = 10.0687 Å, c = 10.0687 Å
α = 120.00°, β = 90.00°, γ = 90.00°
Positions (direct):
Cd: 0.0000 0.0000 0.5000
Cd: 0.0000 0.5000 0.5000
Cd: 0.0000 0.5000 0.0000
Cd: 0.5000 0.3512 0.1756
Cd: 0.5000 0.1756 0.8244
Cd: 0.5000 0.1756 0.3512
Cd: 0.5000 0.8244 0.6488
Cd: 0.5000 0.8244 0.1756
Cd: 0.5000 0.6488 0.8244
Hg: 0.0000 0.3333 0.6667
Hg: 0.0000 0.6667 0.3333
Bi: 0.0000 0.0000 0.0000



[2]
The following is a DFT calculation (PBE-GGA) of crystalline Cd3Hg2Bi2 at its relaxed geometry.

Properties
For the formation energy, the calculation gives 0.034 eV per atom. The volume is 191.7 Å³/cell. Its total magnetization is 0.000 Bohr magnetons per cell.

a = 3.5425 Å, b = 7.9842 Å, c = 7.3114 Å
α = 107.63°, β = 90.00°, γ = 102.82°
Positions (direct):
Cd: 0.2777 0.5555 0.8393
Cd: 0.0000 0.0000 0.0000
Cd: 0.7223 0.4445 0.1607
Hg: 0.1427 0.2854 0.4038
Hg: 0.8573 0.7146 0.5962
Bi: 0.5915 0.1831 0.7448
Bi: 0.4085 0.8169 0.2552



[3]
The following is a DFT calculation (PBE-GGA) of crystalline Cd12Hg5Bi2 at its relaxed geometry.

Properties
For the formation energy, the calculation gives 0.039 eV per atom. The volume is 498.3 Å³/cell. Its polymorph energy (0 for the lowest one) is 0.000 eV per atom. Its total magnetization is 0.000 Bohr magnetons per cell.

a = 10.4947 Å, b = 10.4947 Å, c = 7.7134 Å
α = 104.04°, β = 124.56°, γ = 113.87°
Positions (direct):
Cd: 0.8010 0.9477 0.7487
Cd: 0.6481 0.4210 0.6126
Cd: 0.1916 0.9645 0.6126
Cd: 0.0687 0.6633 0.1949
Cd: 0.5316 0.1262 0.1949
Cd: 0.6015 0.6539 0.2554
Cd: 0.3985 0.3461 0.7446
Cd: 0.9313 0.3367 0.8051
Cd: 0.4684 0.8738 0.8051
Cd: 0.3519 0.5790 0.3874
Cd: 0.8084 0.0355 0.3874
Cd: 0.1990 0.0523 0.2513
Hg: 0.7810 0.4085 0.1895
Hg: 0.0062 0.2572 0.2634
Hg: 0.5000 0.0000 0.5000
Hg: 0.9938 0.7428 0.7366
Hg: 0.2190 0.5915 0.8105
Bi: 0.2556 0.2556 0.0000
Bi: 0.7444 0.7444 0.0000



[4]
The following is a DFT calculation (PBE-GGA) of crystalline Cd8Hg3Bi2 at its relaxed geometry.

Properties
For the formation energy, the calculation gives 0.059 eV per atom. The volume is 348.9 Å³/cell. Its polymorph energy (0 for the lowest one) is 0.010 eV per atom. Its total magnetization is 0.000 Bohr magnetons per cell.

a = 6.4167 Å, b = 8.0022 Å, c = 7.9158 Å
α = 120.36°, β = 94.98°, γ = 90.00°
Positions (direct):
Cd: 0.0971 0.6146 0.2293
Cd: 0.9029 0.3854 0.7707
Cd: 0.8315 0.1726 0.3452
Cd: 0.1685 0.8274 0.6548
Cd: 0.6691 0.6396 0.6576
Cd: 0.6691 0.0181 0.6576
Cd: 0.3309 0.9819 0.3424
Cd: 0.3309 0.3604 0.3424
Hg: 0.5000 0.0000 0.0000
Hg: 0.0000 0.1930 0.0000
Hg: 0.0000 0.8070 0.0000
Bi: 0.3763 0.3703 0.7406
Bi: 0.6237 0.6297 0.2594



[5]
The following is a DFT calculation (PBE-GGA) of crystalline Cd2Hg4Bi at its relaxed geometry.

Properties
For the formation energy, the calculation gives 0.052 eV per atom. The volume is 386.8 Å³/cell. Its total magnetization is 0.000 Bohr magnetons per cell.

a = 3.3924 Å, b = 16.3939 Å, c = 11.3924 Å
α = 38.14°, β = 81.44°, γ = 84.06°
Positions (direct):
Bi: 0.8806 0.0715 0.1673
Bi: 0.1194 0.9285 0.8327
Hg: 0.2557 0.1381 0.3505
Hg: 0.8577 0.3655 0.9190
Hg: 0.0149 0.1592 0.8110
Hg: 0.5531 0.4280 0.4659
Hg: 0.4469 0.5720 0.5341
Hg: 0.9851 0.8408 0.1890
Hg: 0.1423 0.6345 0.0810
Hg: 0.7443 0.8619 0.6495
Cd: 0.6328 0.2020 0.5324
Cd: 0.2101 0.4030 0.1767
Cd: 0.7899 0.5970 0.8233
Cd: 0.3672 0.7980 0.4676



[6]
The following is a DFT calculation (PBE-GGA) of crystalline CdHgBi2 at its relaxed geometry.

Properties
For the formation energy, the calculation gives 0.105 eV per atom. The volume is 113.5 Å³/cell. Its polymorph energy (0 for the lowest one) is 0.000 eV per atom. Its total magnetization is 0.000 Bohr magnetons per cell.

a = 3.5452 Å, b = 3.5452 Å, c = 9.0320 Å
α = 90.00°, β = 90.00°, γ = 90.00°
Positions (direct):
Cd: 0.5000 0.5000 0.0000
Bi: 0.0000 0.0000 0.7662
Bi: 0.0000 0.0000 0.2338
Hg: 0.5000 0.5000 0.5000



[7]
The following is a DFT calculation (PBE-GGA) of crystalline Cd5Hg12Bi2 at its relaxed geometry.

Properties
For the formation energy, the calculation gives 0.061 eV per atom. The volume is 530.6 Å³/cell. Its total magnetization is 0.000 Bohr magnetons per cell.

a = 8.0631 Å, b = 9.9617 Å, c = 7.7908 Å
α = 110.03°, β = 90.00°, γ = 113.87°
Positions (direct):
Cd: 0.2354 0.4708 0.4558
Cd: 0.2761 0.5522 0.1051
Cd: 0.0000 0.0000 0.5000
Cd: 0.7239 0.4478 0.8949
Cd: 0.7646 0.5292 0.5442
Hg: 0.9007 0.8014 0.1064
Hg: 0.1101 0.6190 0.8173
Hg: 0.5089 0.6190 0.8173
Hg: 0.1318 0.7611 0.4936
Hg: 0.6294 0.7611 0.4936
Hg: 0.5485 0.0970 0.7062
Hg: 0.4515 0.9030 0.2938
Hg: 0.8682 0.2389 0.5064
Hg: 0.3706 0.2389 0.5064
Hg: 0.8899 0.3810 0.1827
Hg: 0.4911 0.3810 0.1827
Hg: 0.0993 0.1986 0.8936
Bi: 0.6959 0.0000 0.0000
Bi: 0.3041 0.0000 0.0000



[8]
The following is a DFT calculation (PBE-GGA) of crystalline Cd2Hg5Bi2 at its relaxed geometry.

Properties
For the formation energy, the calculation gives 0.053 eV per atom. The volume is 491.1 Å³/cell. Its total magnetization is 0.000 Bohr magnetons per cell.

a = 14.3144 Å, b = 5.4443 Å, c = 6.8644 Å
α = 113.36°, β = 90.00°, γ = 90.00°
Positions (direct):
Cd: 0.6520 0.9272 0.0000
Cd: 0.3480 0.0728 0.0000
Cd: 0.1520 0.5728 0.0000
Cd: 0.8480 0.4272 0.0000
Hg: 0.0000 0.0000 0.0000
Hg: 0.5000 0.5000 0.0000
Hg: 0.8186 0.0769 0.3017
Hg: 0.1814 0.2249 0.3017
Hg: 0.3186 0.7249 0.3017
Hg: 0.6814 0.5769 0.3017
Hg: 0.1814 0.9231 0.6983
Hg: 0.8186 0.7751 0.6983
Hg: 0.6814 0.2751 0.6983
Hg: 0.3186 0.4231 0.6983
Bi: 0.0000 0.3187 0.6375
Bi: 0.5000 0.8187 0.6375
Bi: 0.0000 0.6813 0.3625
Bi: 0.5000 0.1813 0.3625



Number 1: mass density 9.2 g/cm3. Number 2: mass density 10.0 g/cm3. Number 3: mass density 9.2 g/cm3. Number 4: mass density 9.1 g/cm3. Number 5: mass density 10.6 g/cm3. Number 6: mass density 10.7 g/cm3. Number 7: mass density 10.6 g/cm3. Number 8: mass density 11.1 g/cm3.